Compound: PuCr2AgO8
Source: Alexandria
Functional: PBE+U
Structure: optimized geometry

The value obtained for the final energy is -7.46 eV per atom. For the density of states at the Fermi level, the calculation gives 7.9 states/eV/f.u.

It has space group P-3m1 (No. 164), with a = 5.8247 Å, b = 5.8247 Å, c = 6.5612 Å, α = 90.00°, β = 90.00° and γ = 120.00°. The inequivalent atoms are Pu at (0.0000, 0.0000, 0.0000), Cr at (0.3333, 0.6667, 0.7094), Ag at (0.0000, 0.0000, 0.5000), O at (0.1703, 0.3407, 0.7975) and O at (0.3333, 0.6667, 0.4632).